HfVWO2: optimized geometry, PBE+U.

Unit cell a=3.9335 b=3.9335 c=6.0949 alpha=90.00 beta=90.00 gamma=90.00
Last column: nearest neighbours and their distance in Å.
Space group P4/mmm (No. 123)
Asymmetric unit:
Hf1 0.0000 0.0000 0.0000 x1  4 V 2.78, 2 W 3.05
V1 0.5000 0.5000 0.0000 x1  4 Hf 2.78
W1 0.0000 0.0000 0.5000 x1  4 O 1.97
O1 0.0000 0.5000 0.5000 x2  2 W 1.97

Theoretical density (g/cm³): 7.84
VASP energy (Ry/atom): -0.5055
DOS(E_F) (states/eV per atom): 0.447
M_tot (μB per cell): 4.54